The following is a GGA+U calculation of crystalline K2AcVF8 at its relaxed geometry, from Alexandria via LeMat-Bulk.

The final energy comes out at -5.66 eV per atom.

The space group is P2/m (No. 10) and the conventional cell measures 4.372, 7.591 and 6.134 Å, with angles of 90.00, 95.15 and 90.00 degrees. Symmetry generates all atoms from K at (0.000, 0.227, 0.000), Ac at (0.500, 0.500, 0.500), V at (0.500, 0.000, 0.500), F at (0.004, 0.500, 0.275), F at (0.121, 0.000, 0.314) and F at (0.424, 0.213, 0.699).